Record 1
Density functional theory data (PBE-GGA) for Ca2Pt after structural relaxation.

```
Ca2Pt
1.0
2.0153 -7.2993 0.0000
2.0153 7.2993 0.0000
0.0000 0.0000 5.2593
Ca Pt
4 2
Cartesian
2.0153 6.4340 3.9445
2.0153 3.7910 1.3148
2.0153 -3.7910 3.9445
2.0153 -6.4340 1.3148
2.0153 1.5211 3.9445
2.0153 -1.5211 1.3148
```

Properties
The calculation puts the energy of formation at -572.7 meV per atom. The calculation puts the total magnetization at 0.00 μB per formula unit.

---

Record 2
Density functional theory data (PBE-GGA) for CaPu3Pt4 after structural relaxation.

```
CaPu3Pt4
1.0
3.4476 0.0000 0.0000
0.0000 4.9928 0.0000
0.0000 0.0000 10.0396
Ca Pu Pt
1 3 4
Cartesian
0.0000 0.0000 0.0000
0.0000 0.0000 5.0198
0.0000 2.4964 2.4874
0.0000 2.4964 7.5522
1.7238 0.0000 2.5619
1.7238 0.0000 7.4777
1.7238 2.4964 0.0000
1.7238 2.4964 5.0198
```

Properties
The calculation puts the energy of formation at -776.8 meV per atom. The calculation puts the total magnetization at 16.31 μB per formula unit.

---

Record 3
Density functional theory data (PBE-GGA) for CaPuPt4 after structural relaxation.

```
CaPuPt4
1.0
0.0000 3.8571 3.8571
3.8571 0.0000 3.8571
3.8571 3.8571 0.0000
Ca Pu Pt
1 1 4
Cartesian
0.0000 0.0000 0.0000
5.7856 5.7856 5.7856
2.8928 2.8928 2.8928
4.8214 4.8214 2.8928
4.8214 2.8928 4.8214
2.8928 4.8214 4.8214
```

Properties
The calculation puts the energy of formation at -867.0 meV per atom. The calculation puts the total magnetization at 5.04 μB per formula unit.

---

Record 4
Density functional theory data (PBE-GGA) for CaPuPt after structural relaxation.

```
CaPuPt
1.0
0.0000 3.4720 3.4720
3.4720 0.0000 3.4720
3.4720 3.4720 0.0000
Ca Pu Pt
1 1 1
Cartesian
0.0000 0.0000 0.0000
3.4720 3.4720 3.4720
5.2080 5.2080 5.2080
```

Properties
The distance to the lowest polymorph of the same formula is 139 meV/atom. The calculation puts the energy of formation at -494.2 meV per atom. The calculation puts the total magnetization at 6.01 μB per formula unit.

---

Record 5
Density functional theory data (PBE-GGA) for Ca2PuPt9 after structural relaxation.

```
Ca2PuPt9
1.0
2.7052 1.5618 8.8948
-2.7052 1.5618 8.8948
0.0000 -3.1237 8.8948
Ca Pu Pt
2 1 9
Cartesian
0.0000 0.0000 3.7823
0.0000 0.0000 22.9020
0.0000 0.0000 0.0000
-1.3631 -0.7870 11.1442
0.0000 0.0000 8.8765
0.0000 -1.5740 15.5401
-1.3631 0.7870 15.5401
0.0000 0.0000 13.3421
1.3631 -0.7870 11.1442
0.0000 1.5740 11.1442
0.0000 0.0000 17.8078
1.3631 0.7870 15.5401
```

Properties
The calculation puts the energy of formation at -736.4 meV per atom. The calculation puts the total magnetization at 5.05 μB per formula unit.

---

Record 6
Density functional theory data (PBE-GGA) for CaPuPt after structural relaxation.

```
CaPuPt
1.0
7.4186 0.0000 0.0000
-3.7093 6.4247 0.0000
0.0000 0.0000 4.7894
Ca Pu Pt
3 3 3
Cartesian
-1.5593 2.7008 0.0000
3.1186 0.0000 0.0000
2.1500 3.7239 0.0000
-2.7957 4.8422 2.3947
0.9136 1.5824 2.3947
5.5913 0.0000 2.3947
0.0000 0.0000 0.0000
0.0000 4.2831 2.3947
3.7093 2.1416 2.3947
```

Properties
The distance to the lowest polymorph of the same formula is 0 meV/atom. The calculation puts the energy of formation at -633.0 meV per atom. The calculation puts the total magnetization at 6.03 μB per formula unit.

---

Record 7
Density functional theory data (PBE-GGA) for CaPu5Pt6 after structural relaxation.

```
CaPu5Pt6
1.0
-2.4836 3.5190 7.4600
2.4836 -3.5190 7.4600
2.4836 3.5190 -7.4600
Ca Pu Pt
1 5 6
Cartesian
0.0000 0.0000 0.0000
2.4836 0.0000 2.4421
0.0000 0.0000 5.0332
0.0000 3.5190 0.0000
0.0000 0.0000 9.8869
0.0000 3.5190 5.0179
2.4836 -1.7627 4.8594
2.4836 1.7662 0.0000
0.0000 1.7563 2.6007
2.4836 1.7627 4.8594
0.0000 1.7528 7.4600
0.0000 5.2817 2.6007
```

Properties
The calculation puts the energy of formation at -724.6 meV per atom. The calculation puts the total magnetization at 5.45 μB per formula unit.

---

Record 8
Density functional theory data (PBE-GGA) for CaPu3Pt3 after structural relaxation.

```
CaPu3Pt3
1.0
7.7617 0.0000 0.0000
0.0000 7.7617 0.0000
0.0000 0.0000 7.7617
Ca Pu Pt
2 6 6
Cartesian
0.0000 0.0000 0.0000
3.8809 3.8809 3.8809
0.0000 1.9404 3.8809
0.0000 5.8213 3.8809
1.9404 3.8809 0.0000
3.8809 0.0000 1.9404
3.8809 0.0000 5.8213
5.8213 3.8809 0.0000
0.0000 3.8809 1.9404
0.0000 3.8809 5.8213
1.9404 0.0000 3.8809
3.8809 1.9404 0.0000
3.8809 5.8213 0.0000
5.8213 0.0000 3.8809
```

Properties
The distance to the lowest polymorph of the same formula is 500 meV/atom. The calculation puts the energy of formation at -117.3 meV per atom. The calculation puts the total magnetization at 16.53 μB per formula unit.

---

Record 9
Density functional theory data (PBE-GGA) for Ca4PuPt5 after structural relaxation.

```
Ca4PuPt5
1.0
3.5003 0.0000 0.0000
0.0000 3.5003 0.0000
0.0000 0.0000 17.5619
Ca Pu Pt
4 1 5
Cartesian
0.0000 0.0000 1.7261
0.0000 0.0000 5.1817
0.0000 0.0000 12.3802
0.0000 0.0000 15.8358
0.0000 0.0000 8.7809
1.7502 1.7502 0.0000
1.7502 1.7502 3.4769
1.7502 1.7502 7.1003
1.7502 1.7502 10.4616
1.7502 1.7502 14.0850
```

Properties
The calculation puts the energy of formation at -847.5 meV per atom. The calculation puts the total magnetization at 5.17 μB per formula unit.

---

Record 10
Density functional theory data (PBE-GGA) for CaPu2Pt after structural relaxation.

```
CaPu2Pt
1.0
1.9538 1.1280 9.6143
-1.9538 1.1280 9.6143
0.0000 -2.2560 9.6143
Ca Pu Pt
1 2 1
Cartesian
0.0000 0.0000 0.0000
0.0000 0.0000 6.5338
0.0000 0.0000 22.3091
0.0000 0.0000 14.4214
```

Properties
The calculation puts the energy of formation at -176.2 meV per atom. The calculation puts the total magnetization at 12.05 μB per formula unit.

---

Record 11
Density functional theory data (PBE-GGA) for CaPu3Pt8 after structural relaxation.

```
CaPu3Pt8
1.0
2.7275 1.5747 8.8996
-2.7275 1.5747 8.8996
0.0000 -3.1495 8.8996
Ca Pu Pt
1 3 8
Cartesian
0.0000 0.0000 0.0000
0.0000 0.0000 3.3520
0.0000 0.0000 13.3350
0.0000 0.0000 16.6597
0.0000 -1.5731 6.1084
-1.3624 0.7866 6.1084
-1.3623 -0.7865 10.5597
0.0000 0.0000 8.3378
1.3624 0.7866 6.1084
1.3623 -0.7865 10.5597
0.0000 1.5731 10.5597
0.0000 0.0000 21.6787
```

Properties
The calculation puts the energy of formation at -860.5 meV per atom. The calculation puts the total magnetization at 15.52 μB per formula unit.

---

Record 12
Density functional theory data (PBE-GGA) for Ca3PuPt4 after structural relaxation.

```
Ca3PuPt4
1.0
-2.4720 2.4720 7.0368
2.4720 -2.4720 7.0368
2.4720 2.4720 -7.0368
Ca Pu Pt
3 1 4
Cartesian
0.0000 0.0000 0.0000
0.0000 0.0000 3.4795
0.0000 0.0000 10.5942
0.0000 0.0000 7.0368
2.4720 0.0000 1.6854
2.4720 0.0000 5.3514
0.0000 2.4720 1.6854
0.0000 2.4720 5.3514
```

Properties
The calculation puts the energy of formation at -845.5 meV per atom. The calculation puts the total magnetization at 5.29 μB per formula unit.

---

Record 13
Density functional theory data (PBE-GGA) for CaPuPt2 after structural relaxation.

```
CaPuPt2
1.0
4.9880 0.0000 0.0000
0.0000 4.9880 0.0000
0.0000 0.0000 3.4445
Ca Pu Pt
1 1 2
Cartesian
0.0000 0.0000 0.0000
2.4940 2.4940 0.0000
0.0000 2.4940 1.7223
2.4940 0.0000 1.7223
```

Properties
The calculation puts the energy of formation at -817.9 meV per atom. The calculation puts the total magnetization at 5.35 μB per formula unit.

---

Record 14
Density functional theory data (PBE-GGA) for CaPu4Pt5 after structural relaxation.

```
CaPu4Pt5
1.0
3.4813 0.0000 0.0000
0.0000 3.4813 0.0000
0.0000 0.0000 18.0060
Ca Pu Pt
1 4 5
Cartesian
0.0000 0.0000 0.0000
0.0000 0.0000 3.5890
0.0000 0.0000 7.2223
0.0000 0.0000 10.7837
0.0000 0.0000 14.4171
1.7406 1.7406 1.8945
1.7406 1.7406 5.4054
1.7406 1.7406 9.0030
1.7406 1.7406 12.6006
1.7406 1.7406 16.1115
```

Properties
The calculation puts the energy of formation at -750.0 meV per atom. The calculation puts the total magnetization at 0.13 μB per formula unit.

---

Record 15
Density functional theory data (PBE-GGA) for Ca5PuPt6 after structural relaxation.

```
Ca5PuPt6
1.0
4.9313 0.0000 0.0000
0.0000 7.0618 0.0000
-2.4370 0.0000 7.4073
Ca Pu Pt
5 1 6
Cartesian
0.0000 0.0000 0.0000
0.0189 3.5309 4.8662
0.0193 0.0000 4.9397
2.4751 0.0000 2.4676
2.4755 3.5309 2.5411
0.0000 3.5309 0.0000
0.0095 1.7871 2.3750
0.0095 5.2747 2.3750
2.4657 1.8826 0.0000
2.4657 5.1792 0.0000
2.4848 1.7871 5.0322
2.4848 5.2747 5.0322
```

Properties
The calculation puts the energy of formation at -859.9 meV per atom. The calculation puts the total magnetization at 5.10 μB per formula unit.

---

Record 16
Density functional theory data (PBE-GGA) for CaPu2Pt2 after structural relaxation.

```
CaPu2Pt2
1.0
4.8008 -3.6145 0.0000
4.8008 3.6145 0.0000
-2.3059 0.0000 6.1316
Ca Pu Pt
2 4 4
Cartesian
3.0713 3.1215 4.5987
4.2243 -3.1215 1.5329
3.7833 0.3729 0.4418
2.6303 -0.3729 3.5076
4.6653 0.3729 2.6241
3.5123 -0.3729 5.6899
0.4595 1.5258 4.1970
1.6124 -1.5258 1.1311
5.6832 1.5258 5.0005
6.8361 -1.5258 1.9347
```

Properties
The distance to the lowest polymorph of the same formula is 223 meV/atom. The calculation puts the energy of formation at -450.9 meV per atom. The calculation puts the total magnetization at 1.00 μB per formula unit.

---

Record 17
Density functional theory data (PBE-GGA) for CaPuPt after structural relaxation.

```
CaPuPt
1.0
4.8650 0.0000 0.0000
0.0000 4.8650 0.0000
0.0000 0.0000 7.0650
Ca Pu Pt
2 2 2
Cartesian
1.2162 3.6487 0.0000
3.6487 1.2162 0.0000
1.2162 3.6487 3.5325
3.6487 1.2162 3.5325
1.2162 1.2162 1.8625
3.6487 3.6487 5.2025
```

Properties
The distance to the lowest polymorph of the same formula is 68 meV/atom. The calculation puts the energy of formation at -564.8 meV per atom. The calculation puts the total magnetization at 5.95 μB per formula unit.

---

Record 18
Density functional theory data (PBE-GGA) for CaPuPt after structural relaxation.

```
CaPuPt
1.0
5.0410 0.0000 0.0000
-2.5205 4.3656 0.0000
0.0000 0.0000 2.9468
Ca Pu Pt
1 1 1
Cartesian
0.0000 0.0000 0.0000
2.5205 1.4552 0.0051
0.0000 2.9104 1.4729
```

Properties
The distance to the lowest polymorph of the same formula is 491 meV/atom. The calculation puts the energy of formation at -142.1 meV per atom. The calculation puts the total magnetization at 5.84 μB per formula unit.

---

Record 19
Density functional theory data (PBE-GGA) for CaPu3Pt3 after structural relaxation.

```
CaPu3Pt3
1.0
5.0021 2.8880 1.9636
-5.0021 2.8880 1.9636
0.0000 -5.7760 1.9636
Ca Pu Pt
1 3 3
Cartesian
0.0000 0.0000 0.0000
-2.5011 -1.4440 1.9636
-2.5011 1.4440 3.9271
0.0000 2.8880 1.9636
-5.0021 0.0000 2.9453
-2.5011 1.4440 0.9818
2.5011 1.4440 0.9818
```

Properties
The distance to the lowest polymorph of the same formula is 0 meV/atom. The calculation puts the energy of formation at -617.5 meV per atom. The calculation puts the total magnetization at 17.03 μB per formula unit.

---

Record 20
Density functional theory data (PBE-GGA) for CaPu2Pt2 after structural relaxation.

```
CaPu2Pt2
1.0
7.9556 0.0000 0.0000
0.0000 7.9556 0.0000
0.0000 0.0000 3.8359
Ca Pu Pt
2 4 4
Cartesian
0.0000 0.0000 0.0000
3.9778 3.9778 0.0000
1.1821 2.7957 1.9180
2.7957 6.7735 1.9180
5.1599 1.1821 1.9180
6.7735 5.1599 1.9180
1.1883 5.1661 0.0000
2.7895 1.1883 0.0000
5.1661 6.7673 0.0000
6.7673 2.7895 0.0000
```

Properties
The distance to the lowest polymorph of the same formula is 0 meV/atom. The calculation puts the energy of formation at -673.6 meV per atom. The calculation puts the total magnetization at 11.43 μB per formula unit.